P | The following is a meta-GGA SCAN calculation of a PBEsol-optimized structure of CoAsP, from the Alexandria database.

```
CoAsP
1.0
2.980 0.000 0.000
0.000 4.914 0.000
0.000 0.000 5.660
Co As P
2 2 2
Direct
0.000 0.231 0.000 Co
0.500 0.769 0.500 Co
0.000 0.428 0.628 As
0.500 0.572 0.128 As
0.000 0.059 0.361 P
0.500 0.941 0.861 P
```

* D(E_F): 0.258 states/eV/atom
* SG: Pmn2_1 (31)
* volume: 82.9 Å³/cell


Q | The following is a meta-GGA SCAN calculation of a PBEsol-optimized structure of CoAsP, from the Alexandria database.

```
CoAsP
1.0
5.667 0.000 0.000
0.000 5.700 0.000
0.000 0.000 10.141
Co As P
8 8 8
Direct
0.014 0.109 0.120 Co
0.014 0.391 0.620 Co
0.486 0.609 0.120 Co
0.486 0.891 0.620 Co
0.514 0.109 0.380 Co
0.514 0.391 0.880 Co
0.986 0.609 0.380 Co
0.986 0.891 0.880 Co
0.140 0.245 0.420 As
0.140 0.255 0.920 As
0.360 0.745 0.420 As
0.360 0.755 0.920 As
0.640 0.245 0.080 As
0.640 0.255 0.580 As
0.860 0.745 0.080 As
0.860 0.755 0.580 As
0.127 0.019 0.678 P
0.127 0.481 0.178 P
0.373 0.519 0.678 P
0.373 0.981 0.178 P
0.627 0.019 0.822 P
0.627 0.481 0.322 P
0.873 0.519 0.822 P
0.873 0.981 0.322 P
```

* SG: Pbca (61)
* volume: 327.5 Å³/cell


The structure with the least stability is Q.